## LiErInRu (PBE)

Data for LiErInRu after structural relaxation.

Lattice parameters (Å, degrees): 6.691 6.691 6.691 90.00 90.00 90.00
Space group F-43m (No. 216)
Asymmetric unit:
1 Li 0.000 0.000 0.000 (multiplicity 4)
2 Er 0.250 0.250 0.750 (multiplicity 4)
3 In 0.250 0.250 0.250 (multiplicity 4)
4 Ru 0.000 0.000 0.500 (multiplicity 4)

## Properties
DFT formation energy ... -0.296 eV/atom
Density of states at the Fermi level ... 0.3948 states/eV/atom